The following is a DFT calculation (PBE-GGA) of Co2BiIr after structural relaxation.

Summary:
- SG = No. 122
- density of states at the Fermi level (states/eV/cell) = 9.77
- calculated density (g/cm³) = 12.1
- electronic total energy (eV/cell) = -48.68

Unit cell a=9.3549 b=9.3549 c=9.3549 alpha=155.35 beta=155.35 gamma=35.14
Element x y z (fractional)
Co: 0.0306 0.6250 0.9056
Co: 0.3750 0.2806 0.4056
Co: 0.7194 0.1250 0.0944
Co: 0.8750 0.9694 0.5944
Bi: 0.2500 0.7500 0.5000
Bi: 0.5000 0.5000 0.0000
Ir: 0.0000 0.0000 0.0000
Ir: 0.7500 0.2500 0.5000